1.
PaTiCo2P2 | GGA-PBE | optimized geometry

a = 3.784 Å, b = 3.784 Å, c = 7.151 Å
α = 90.00°, β = 90.00°, γ = 120.00°
Positions (direct):
P: 0.667 0.333 0.711
Co: 0.333 0.667 0.756
Pa: 0.000 0.000 0.000
Co: 0.667 0.333 0.244
P: 0.333 0.667 0.289
Ti: 0.000 0.000 0.500

Symmetry ... P-3m1, No. 164
Calculated volume ... 88.7 Å³ per cell
Total magnetic moment ... 0.00 μB/cell
Theoretical density ... 8.6 g/cm3
E_form ... -988 meV per atom

2.
PaTiCo5P2 | GGA-PBE | optimized geometry

a = 3.708 Å, b = 3.708 Å, c = 9.661 Å
α = 90.00°, β = 90.00°, γ = 90.00°
Positions (direct):
P: 0.500 0.500 0.278
Co: 0.500 0.000 0.168
Co: 0.500 0.000 0.832
Co: 0.500 0.500 0.500
P: 0.500 0.500 0.722
Pa: 0.000 0.000 0.500
Co: 0.000 0.500 0.168
Ti: 0.000 0.000 0.000
Co: 0.000 0.500 0.832

Symmetry ... P4/mmm, No. 123
Calculated volume ... 132.9 Å³ per cell
Total magnetic moment ... 0.00 μB/cell
Theoretical density ... 7.9 g/cm3
E_form ... -365 meV per atom

3.
Pa2TiCo4P3 | GGA-PBE | optimized geometry

a = 3.873 Å, b = 3.873 Å, c = 9.590 Å
α = 90.00°, β = 90.00°, γ = 90.00°
Site moments in Bohr magnetons follow the coordinates.
Positions (direct):
Pa: 0.000 0.500 0.758  -0.03
Co: 0.000 0.000 0.000  0.75
Ti: 0.500 0.500 0.500  -0.02
Co: 0.500 0.000 0.639  0.00
P: 0.500 0.000 0.873  0.03
P: 0.000 0.500 0.127  0.03
P: 0.000 0.000 0.500  0.00
Pa: 0.500 0.000 0.242  -0.03
Co: 0.500 0.500 0.000  0.76
Co: 0.000 0.500 0.361  0.00

Symmetry ... P-4m2, No. 115
Calculated volume ... 143.9 Å³ per cell
Total magnetic moment ... 1.42 μB/cell
Theoretical density ... 9.7 g/cm3
E_form ... -952 meV per atom

4.
TmPaCo5P2 | GGA-PBE | optimized geometry

a = 3.921 Å, b = 3.921 Å, c = 8.150 Å
α = 90.00°, β = 90.00°, γ = 90.00°
Site moments in Bohr magnetons follow the coordinates.
Positions (direct):
Co: 0.000 0.500 0.735  0.38
Co: 0.500 0.500 0.500  0.13
P: 0.500 0.500 0.849  0.00
Pa: 0.000 0.000 0.000  -0.17
P: 0.500 0.500 0.151  0.00
Co: 0.500 0.000 0.265  0.38
Co: 0.500 0.000 0.735  0.38
Tm: 0.000 0.000 0.500  -0.13
Co: 0.000 0.500 0.265  0.38

Symmetry ... P4/mmm, No. 123
Calculated volume ... 125.3 Å³ per cell
Total magnetic moment ... 1.32 μB/cell
Theoretical density ... 10.0 g/cm3
E_form ... -593 meV per atom

- The lowest calculated volume belongs to which entry?
  PaTiCo2P2

- What is the formula in the third record?
  Pa2TiCo4P3